# 1
Entry from OQMD: a relaxed PuGeOs crystal (PBE).

Cell lengths 6.2997, 6.2997, 6.2997 Å; angles 90.00, 90.00, 90.00 degrees
Closest atoms and distances in Å follow each position.
Space group F-43m (No. 216)
Unique sites:
Pu1 0.0000 0.0000 0.0000 x4  4 Ge 2.73, 4 Os 2.73
Ge1 0.2500 0.2500 0.7500 x4  4 Pu 2.73
Os1 0.2500 0.2500 0.2500 x4  4 Pu 2.73

---

# 2
Entry from OQMD: a relaxed PuGeOs crystal (PBE).

Cell lengths 6.3373, 6.3373, 6.3373 Å; angles 90.00, 90.00, 90.00 degrees
Closest atoms and distances in Å follow each position.
Space group F-43m (No. 216)
Unique sites:
Pu1 0.0000 0.0000 0.0000 x4  4 Os 2.74
Ge1 0.0000 0.0000 0.5000 x4  4 Os 2.74
Os1 0.2500 0.2500 0.7500 x4  4 Ge 2.74, 4 Pu 2.74

---

Number 1: E -9.3272 eV per atom. Number 2: E -10.0196 eV per atom.